Entry from Alexandria via LeMat-Bulk: a geometry-optimized TbTlPd2 structure (PBE-GGA).

Geometry as POSCAR:
```
TbTlPd2
1.0
3.565 0.000 0.000
0.000 3.565 0.000
0.000 0.000 6.564
Tb Tl Pd
1 1 2
Direct
0.000 0.000 0.000 Tb
0.000 0.000 0.500 Tl
0.500 0.500 0.246 Pd
0.500 0.500 0.754 Pd
```

Computed properties:
Density, g cm⁻³: 11.5
Total moment, μB per cell: 0.000
Energy of formation from the pure elements, kJ/mol of atoms: -53.5
E, Ry/atom: -0.3601
Density of states at the Fermi level, states/eV/f.u.: 2.75